## LiNi2PdO4 (PBE+U)

Data for a geometry-optimized LiNi2PdO4 structure.

a b c (Å): 2.920 5.410 5.415
angles (deg): 112.74 90.00 90.00
Each line ends with the local moment (μB).
Atoms (fractional coordinates):
O (0.500, 0.696, 0.736)  0.02
O (0.000, 0.805, 0.242)  -0.08
O (0.000, 0.195, 0.758)  -0.08
O (0.500, 0.304, 0.264)  0.02
Ni (0.500, 0.000, 0.500)  1.69
Ni (0.000, 0.500, 0.500)  0.02
Li (0.000, 0.000, 0.000)  0.00
Pd (0.500, 0.500, 0.000)  -0.40

- density (g/cm3) = 6.20
- E_tot (eV/atom) = -4.820
- spin magnetization (μB/f.u.) = 1.21
- V (A^3/atom) = 9.86